## YRe3 (PBE-GGA)

Data for a relaxed structure of YRe3.

Geometry as extended XYZ:
```
4
Lattice="3.201 0.000 0.000 0.000 4.617 0.000 0.000 0.000 4.617" Properties=species:S:1:pos:R:3 pbc="T T T"
Re 1.600 0.000 1.924
Y 0.000 2.308 1.923
Re 0.000 0.000 4.232
Re 1.600 2.308 4.232
```

Values from the calculation:
DOS(E_F) = 0.738 states/eV per atom
Distance to the lowest polymorph of the same formula = 0.541 eV per formula unit
Space group = No. 123
ΔE_f = 0.3994 eV per atom

=====

## ErSi2Pd5 (PBE-GGA)

Data for a relaxed structure of ErSi2Pd5.

Geometry as extended XYZ:
```
8
Lattice="-2.603 2.790 -0.309 -2.149 1.266 5.822 2.557 5.277 2.394" Properties=species:S:1:pos:R:3 pbc="T T T"
Pd -2.487 3.306 3.378
Pd 0.204 3.271 4.108
Si -0.536 2.348 2.012
Er 0.000 0.000 0.000
Si -1.659 6.984 5.895
Pd 0.291 6.026 4.529
Pd -1.595 4.418 5.903
Pd -0.601 4.914 2.004
```

Values from the calculation:
DOS(E_F) = 0.484 states/eV per atom
Raw formation energy = -768 meV/atom
Space group = No. 71

=====

## Th5In2Tc (PBE-GGA)

Data for a relaxed structure of Th5In2Tc.

Geometry as extended XYZ:
```
16
Lattice="-4.060 2.049 1.436 -3.118 -1.000 -7.387 -4.390 -11.046 3.347" Properties=species:S:1:pos:R:3 pbc="T T T"
Th -6.088 -4.467 -2.921
Th -3.913 -8.912 1.651
Th -8.660 -10.111 -2.140
Th -5.479 -5.529 0.316
Th -2.907 0.115 -0.464
Th -5.081 -8.429 -2.340
Tc -3.754 -6.023 -2.020
In -3.725 -2.680 1.210
Th -1.559 -0.500 -3.694
Th -3.594 -3.133 -5.692
Th -2.426 -3.616 -1.700
Tc 0.000 0.000 0.000
Th -2.195 -5.523 1.674
In -7.842 -7.317 -3.815
In -6.968 -8.539 0.401
In -4.600 -1.458 -3.005
```

Values from the calculation:
DOS(E_F) = 1.195 states/eV per atom
Distance to the lowest polymorph of the same formula = 0.000 eV per formula unit
Space group = No. 55
ΔE_f = -0.1917 eV per atom

=====

## Np2PPt6 (PBE-GGA)

Data for a relaxed structure of Np2PPt6.

Geometry as extended XYZ:
```
9
Lattice="5.623 0.000 0.000 -2.812 4.724 1.088 0.000 0.087 6.141" Properties=species:S:1:pos:R:3 pbc="T T T"
Np 2.812 1.352 1.170
Pt 1.387 3.488 2.692
P 0.000 0.000 0.000
Pt -1.387 3.488 2.692
Pt 1.425 1.324 4.536
Pt 4.199 1.324 4.536
Pt 0.000 1.194 2.067
Pt 2.812 3.617 5.161
Np 0.000 3.460 6.058
```

Values from the calculation:
DOS(E_F) = 2.226 states/eV per atom
Space group = No. 12
ΔE_f = -0.5830 eV per atom

=====

## BeCd2F (PBE-GGA)

Data for a relaxed structure of BeCd2F.

Geometry as extended XYZ:
```
4
Lattice="-1.284 0.801 4.291 -1.060 4.228 1.306 -4.324 1.081 0.917" Properties=species:S:1:pos:R:3 pbc="T T T"
Be 0.000 0.000 0.000
Cd -1.667 1.528 1.628
Cd -5.001 4.583 4.885
F -3.334 3.055 3.257
```

Values from the calculation:
DOS(E_F) = 0.316 states/eV per atom
Raw formation energy = -175 meV/atom
Distance to the lowest polymorph of the same formula = 0.462 eV per formula unit
Space group = No. 225

=====

## InSb2Au6 (PBE-GGA)

Data for a relaxed structure of InSb2Au6.

Geometry as extended XYZ:
```
18
Lattice="-2.741 -9.779 -2.318 -6.341 -5.134 3.022 -3.695 -2.291 -6.644" Properties=species:S:1:pos:R:3 pbc="T T T"
Au -9.947 -9.767 -4.756
Au -11.736 -15.226 -4.605
Sb -4.538 -8.003 -0.414
Sb -4.516 -10.402 -4.860
Au -2.717 -2.976 -1.395
Au -4.046 -2.907 -5.425
In -7.542 -8.230 -3.176
Au -6.771 -6.777 -5.535
Au -8.615 -14.334 -0.495
Au -3.556 -5.663 -1.554
Sb -7.676 -12.173 -1.976
Sb -5.025 -5.055 -3.951
Au -4.220 -7.573 -4.785
Au -7.400 -10.832 -4.469
Au -6.363 -6.054 -1.647
Au -8.524 -9.615 -0.855
In -10.736 -12.531 -4.662
Au -5.895 -10.490 -0.680
```

Values from the calculation:
DOS(E_F) = 0.297 states/eV per atom
Raw formation energy = 0 meV/atom
Space group = No. 43

=====

## YTe4Cl (PBE-GGA)

Data for a relaxed structure of YTe4Cl.

Geometry as extended XYZ:
```
6
Lattice="0.000 4.451 4.451 4.451 0.000 4.451 4.451 4.451 0.000" Properties=species:S:1:pos:R:3 pbc="T T T"
Te 5.562 5.562 3.341
Cl 0.000 0.000 0.000
Te 3.341 5.562 5.562
Y 6.677 6.677 6.677
Te 5.562 3.341 5.562
Te 3.341 3.341 3.341
```

Values from the calculation:
DOS(E_F) = 0.164 states/eV per atom
Raw formation energy = -255 meV/atom
Space group = No. 216

=====

## ErAgSn2Se4 (PBE-GGA)

Data for a relaxed structure of ErAgSn2Se4.

Geometry as extended XYZ:
```
8
Lattice="-2.071 3.624 0.069 -4.899 -2.888 4.691 2.197 1.128 6.731" Properties=species:S:1:pos:R:3 pbc="T T T"
Ag -1.288 1.496 9.111
Er -1.351 -0.880 5.711
Se -2.833 3.133 2.995
Se -1.940 -1.269 8.496
Se -0.714 1.878 6.244
Sn 2.197 1.128 6.731
Sn 0.063 2.376 3.400
Se -4.059 -0.015 5.247
```

Values from the calculation:
DOS(E_F) = 0.013 states/eV per atom
Raw formation energy = -754 meV/atom
Space group = No. 10

=====

## RbLaTaGeTe (PBE-GGA)

Data for a relaxed structure of RbLaTaGeTe.

Geometry as extended XYZ:
```
5
Lattice="4.609 0.000 0.000 0.000 4.818 0.000 0.000 0.000 8.017" Properties=species:S:1:pos:R:3 pbc="T T T"
La 0.000 2.409 5.651
Rb 2.305 0.000 0.811
Ge 0.000 2.409 2.534
Te 2.305 0.000 5.075
Ta 2.305 2.409 3.620
```

Values from the calculation:
DOS(E_F) = 1.096 states/eV per atom
Raw formation energy = -77 meV/atom
Distance to the lowest polymorph of the same formula = 1.485 eV per formula unit
Space group = No. 25

=====

## NaZrMnTe2 (PBE-GGA)

Data for a relaxed structure of NaZrMnTe2.

Geometry as extended XYZ:
```
5
Lattice="5.268 0.000 0.000 0.000 4.394 0.000 0.000 0.000 5.268" Properties=species:S:1:pos:R:3 pbc="T T T"
Te 0.000 0.000 2.634
Na 0.000 0.000 0.000
Te 2.634 0.000 0.000
Zr 2.634 2.197 2.634
Mn 0.000 2.197 0.000
```

Values from the calculation:
DOS(E_F) = 0.892 states/eV per atom
Raw formation energy = 1148 meV/atom
Space group = No. 123

=====

## Ca4TmAu5 (PBE-GGA)

Data for a relaxed structure of Ca4TmAu5.

Geometry as extended XYZ:
```
10
Lattice="3.626 0.000 0.000 0.000 3.626 0.000 0.000 0.000 18.059" Properties=species:S:1:pos:R:3 pbc="T T T"
Au 1.813 1.813 1.604
Au 1.813 1.813 5.405
Ca 0.000 0.000 7.219
Ca 0.000 0.000 10.840
Tm 0.000 0.000 0.000
Au 1.813 1.813 9.029
Ca 0.000 0.000 3.583
Au 1.813 1.813 12.654
Au 1.813 1.813 16.455
Ca 0.000 0.000 14.476
```

Values from the calculation:
DOS(E_F) = 0.642 states/eV per atom
Space group = No. 123
ΔE_f = -0.8105 eV per atom

=====

## Tb8Tl3 (PBE-GGA)

Data for a relaxed structure of Tb8Tl3.

Geometry as extended XYZ:
```
11
Lattice="7.192 -0.013 -0.013 0.169 7.190 -0.013 0.169 0.165 7.188" Properties=species:S:1:pos:R:3 pbc="T T T"
Tb 6.304 0.965 4.904
Tb 1.124 5.058 6.154
Tl 3.681 0.076 3.588
Tl 0.169 3.678 3.588
Tl 3.681 3.589 -0.013
Tb 2.446 1.166 6.320
Tb 2.666 2.599 2.536
Tb 1.227 6.378 2.259
Tb 6.407 2.284 1.009
Tb 5.085 6.177 0.843
Tb 4.865 4.743 4.627
```

Values from the calculation:
DOS(E_F) = 1.687 states/eV per atom
Space group = No. 148
ΔE_f = 0.1006 eV per atom

=====

Repeat the sixth record exactly.
## InSb2Au6 (PBE-GGA)

Data for a relaxed structure of InSb2Au6.

Geometry as extended XYZ:
```
18
Lattice="-2.741 -9.779 -2.318 -6.341 -5.134 3.022 -3.695 -2.291 -6.644" Properties=species:S:1:pos:R:3 pbc="T T T"
Au -9.947 -9.767 -4.756
Au -11.736 -15.226 -4.605
Sb -4.538 -8.003 -0.414
Sb -4.516 -10.402 -4.860
Au -2.717 -2.976 -1.395
Au -4.046 -2.907 -5.425
In -7.542 -8.230 -3.176
Au -6.771 -6.777 -5.535
Au -8.615 -14.334 -0.495
Au -3.556 -5.663 -1.554
Sb -7.676 -12.173 -1.976
Sb -5.025 -5.055 -3.951
Au -4.220 -7.573 -4.785
Au -7.400 -10.832 -4.469
Au -6.363 -6.054 -1.647
Au -8.524 -9.615 -0.855
In -10.736 -12.531 -4.662
Au -5.895 -10.490 -0.680
```

Values from the calculation:
DOS(E_F) = 0.297 states/eV per atom
Raw formation energy = 0 meV/atom
Space group = No. 43